Below is a relaxed structure of Li2VO3F, with properties calculated at the PBE with a Hubbard U level.

The structure in extended XYZ format:
```
28
Lattice="5.727 -0.085 -0.007 -0.270 5.722 -0.007 2.593 2.678 8.657" Properties=species:S:1:pos:R:3 pbc="T T T"
F 4.855 3.561 1.240
F 3.165 4.726 7.378
F 4.698 6.307 5.568
F 3.324 1.977 3.050
Li 4.660 6.077 7.585
Li 3.312 4.796 5.394
Li 3.403 4.929 1.293
Li 0.553 2.137 1.423
Li 3.390 2.127 1.066
Li 3.414 1.961 5.751
Li 6.112 4.900 5.621
Li 4.626 3.515 3.256
O 1.867 3.404 5.605
O 3.153 5.005 3.308
O 6.083 7.698 7.276
O 1.813 3.674 0.904
O 6.373 1.996 3.446
O 5.033 0.551 0.776
O 6.200 4.990 2.948
O 4.909 3.270 5.232
O 3.085 7.774 7.774
O 1.684 6.387 5.105
O 6.197 4.653 7.637
O 2.045 0.637 1.277
V 7.331 3.385 7.651
V 0.681 4.992 0.833
V 1.849 6.098 3.323
V 6.264 2.182 5.161
```

Results
DOS at the Fermi energy: 0.0000 states/eV per atom
polymorph energy (0 for the lowest one): 0.05 eV/f.u.
magnetization: 0.0000 μB/atom